PmSiGe2Ru2 after structural relaxation. Source: Alexandria, functional GGA-PBE.

Cell lengths 4.4576, 4.4576, 5.6133 Å; angles 90.00, 90.00, 90.00 degrees
Space group P4/mmm (No. 123)
Unique sites:
Pm 0.0000 0.0000 0.0000 x1
Si 0.0000 0.0000 0.5000 x1
Ge 0.5000 0.5000 0.2255 x2
Ru 0.0000 0.5000 0.5000 x2

Output
ΔE_f (raw)   -284 meV per atom
E   -6.61 eV/atom
V   18.589 Å³ per atom

---

PmTaGe2Ru after structural relaxation. Source: Alexandria, functional GGA-PBE.

Cell lengths 4.0852, 4.0852, 11.5063 Å; angles 90.00, 90.00, 90.00 degrees
Space group I-4m2 (No. 119)
Unique sites:
Pm 0.0000 0.0000 0.0000 x2
Ta 0.0000 0.5000 0.2500 x2
Ge 0.0000 0.0000 0.3887 x4
Ru 0.0000 0.5000 0.7500 x2

Output
E   -7.55 eV/atom
V   19.203 Å³ per atom
DFT formation energy   -530 meV/atom

---

Pm2TcGe6Ru after structural relaxation. Source: Alexandria, functional GGA-PBE.

Cell lengths 7.5098, 7.5098, 27.5905 Å; angles 90.00, 90.00, 120.00 degrees
Space group R-3m (No. 166, hexagonal axes)
Unique sites:
Pm 0.0000 0.0000 0.1363 x6
Pm 0.0000 0.0000 0.2876 x6
Tc 0.0000 0.0000 0.0000 x3
Tc 0.0000 0.0000 0.5000 x3
Ge 0.0119 0.5060 0.1174 x18
Ge 0.0261 0.5130 0.7181 x18
Ru 0.0000 0.0000 0.3924 x6

Output
E   -5.84 eV/atom
V   22.459 Å³ per atom
DFT formation energy   -159 meV/atom

---

PmTmGeRu after structural relaxation. Source: Alexandria, functional GGA-PBE.

Cell lengths 7.0210, 7.0210, 7.0210 Å; angles 90.00, 90.00, 90.00 degrees
Space group F-43m (No. 216)
Unique sites:
Pm 0.0000 0.0000 0.0000 x4
Tm 0.0000 0.0000 0.5000 x4
Ge 0.2500 0.2500 0.2500 x4
Ru 0.2500 0.2500 0.7500 x4

Output
E   -6.20 eV/atom
V   21.631 Å³ per atom
DFT formation energy   -426 meV/atom

---

PmYGeRu after structural relaxation. Source: Alexandria, functional GGA-PBE.

Cell lengths 3.9192, 4.3129, 10.9973 Å; angles 90.00, 90.00, 90.00 degrees
Space group Amm2 (No. 38)
Unique sites:
Pm 0.0000 0.0000 0.0000 x2
Y 0.5000 0.0000 0.2814 x2
Ge 0.5000 0.0000 0.5834 x2
Ru 0.0000 0.0000 0.7324 x2

Output
E   -6.86 eV/atom
V   23.236 Å³ per atom
DFT formation energy   -582 meV/atom
E above lowest polymorph   0 meV/atom

---

PmYGeRu after structural relaxation. Source: Alexandria, functional GGA-PBE.

Cell lengths 7.0765, 7.0765, 7.0765 Å; angles 90.00, 90.00, 90.00 degrees
Space group F-43m (No. 216)
Unique sites:
Pm 0.0000 0.0000 0.0000 x4
Y 0.0000 0.0000 0.5000 x4
Ge 0.2500 0.2500 0.2500 x4
Ru 0.2500 0.2500 0.7500 x4

Output
E   -6.69 eV/atom
V   22.148 Å³ per atom
DFT formation energy   -413 meV/atom
E above lowest polymorph   169 meV/atom

---

PmZn2GeRu after structural relaxation. Source: Alexandria, functional GGA-PBE.

Cell lengths 3.8920, 4.1462, 11.3656 Å; angles 90.00, 90.00, 90.00 degrees
Space group Imm2 (No. 44)
Unique sites:
Pm 0.0000 0.0000 0.0000 x2
Zn 0.0000 0.0000 0.6163 x2
Zn 0.0000 0.5000 0.2550 x2
Ge 0.0000 0.0000 0.3899 x2
Ru 0.0000 0.5000 0.7541 x2

Output
E   -4.58 eV/atom
V   18.341 Å³ per atom
DFT formation energy   -345 meV/atom

---

PmZnGe2Ru after structural relaxation. Source: Alexandria, functional GGA-PBE.

Cell lengths 5.8140, 5.6008, 5.8240 Å; angles 90.00, 90.00, 90.00 degrees
Space group Pmma (No. 51)
Unique sites:
Pm 0.2500 0.0000 0.2205 x2
Zn 0.2500 0.5000 0.3785 x2
Ge 0.2500 0.2367 0.7447 x4
Ru 0.0000 0.5000 0.0000 x2

Output
E   -5.37 eV/atom
V   18.964 Å³ per atom
DFT formation energy   -462 meV/atom

---

PmZn2GeRu2 after structural relaxation. Source: Alexandria, functional GGA-PBE.

Cell lengths 4.5619, 4.5619, 5.6714 Å; angles 90.00, 90.00, 90.00 degrees
Space group P4/mmm (No. 123)
Unique sites:
Pm 0.0000 0.0000 0.0000 x1
Zn 0.5000 0.5000 0.2389 x2
Ge 0.0000 0.0000 0.5000 x1
Ru 0.0000 0.5000 0.5000 x2

Output
E   -5.15 eV/atom
V   19.671 Å³ per atom
DFT formation energy   -70 meV/atom

---

Pm2Ge2S5 after structural relaxation. Source: Alexandria, functional GGA-PBE.

Cell lengths 15.3417, 4.0409, 9.1555 Å; angles 90.00, 115.82, 90.00 degrees
Space group C2/m (No. 12)
Unique sites:
Pm 0.1333 0.0000 0.0043 x4
Ge 0.1539 0.5000 0.5082 x4
S 0.0000 0.5000 0.0000 x2
S 0.1674 0.5000 0.8257 x4
S 0.1733 0.0000 0.3473 x4

Output
ΔE_f (raw)   -1140 meV per atom
E   -5.51 eV/atom
V   28.385 Å³ per atom

---

PmGeS2 after structural relaxation. Source: Alexandria, functional GGA-PBE.

Cell lengths 3.7317, 3.7317, 24.8044 Å; angles 90.00, 90.00, 120.00 degrees
Space group R-3m (No. 166, hexagonal axes)
Unique sites:
Pm 0.0000 0.0000 0.0000 x3
Ge 0.0000 0.0000 0.5000 x3
S 0.0000 0.0000 0.1086 x6

Output
ΔE_f (raw)   -453 meV per atom
E   -4.86 eV/atom
V   24.928 Å³ per atom
E above lowest polymorph   567 meV/atom

---

Pm3Ge2S after structural relaxation. Source: Alexandria, functional GGA-PBE.

Cell lengths 4.1883, 4.1883, 17.7632 Å; angles 90.00, 90.00, 90.00 degrees
Space group I4/mmm (No. 139)
Unique sites:
Pm 0.0000 0.0000 0.0000 x2
Pm 0.0000 0.0000 0.3373 x4
Ge 0.0000 0.0000 0.1655 x4
S 0.0000 0.0000 0.5000 x2

Output
ΔE_f (raw)   -1221 meV per atom
E   -5.82 eV/atom
V   25.967 Å³ per atom
E above lowest polymorph   0 meV/atom